VASP calculation (PBE) on an optimized crystal structure of Pr3Sm5Y.

Results
formation energy from the elements: 0.49 eV per atom
ρ: 6.025 g/cm³

a b c (Å): 15.5082 11.6811 10.0161
angles (deg): 90.00 129.85 90.00
Space group C2/m (No. 12)
Unique sites:
Pr (0.0000, 0.0000, 0.0000) [2 per cell]
Pr (0.0000, 0.5000, 0.5000) [2 per cell]
Pr (0.0056, 0.0000, 0.3159) [4 per cell]
Pr (0.0156, 0.5000, 0.8521) [4 per cell]
Sm (0.0000, 0.2467, 0.5000) [4 per cell]
Sm (0.1535, 0.2480, 0.2432) [8 per cell]
Sm (0.2253, 0.0000, 0.7265) [4 per cell]
Sm (0.2252, 0.5000, 0.5463) [4 per cell]
Y (0.2468, 0.5000, 0.9053) [4 per cell]